Record 1
The following is a GGA-PBE calculation of a relaxed PuZrTe4 crystal, from Alexandria.

CIF file:
```
data_PuZrTe4
_chemical_formula_sum 'Pu2 Zr2 Te8'
_cell_length_a 7.410
_cell_length_b 7.389
_cell_length_c 7.309
_cell_angle_alpha 90.00
_cell_angle_beta 95.95
_cell_angle_gamma 90.00
_space_group_name_H-M_alt 'P 1'
_space_group_IT_number 1
_space_group_name_Hall 'P 1'
loop_
_atom_site_label
_atom_site_fract_x
_atom_site_fract_y
_atom_site_fract_z
Pu1 0.000 0.000 0.000
Pu2 0.500 0.500 0.000
Zr1 0.500 0.000 0.500
Zr2 0.000 0.500 0.500
Te1 0.884 0.635 0.143
Te2 0.616 0.135 0.857
Te3 0.330 0.349 0.369
Te4 0.170 0.849 0.631
Te5 0.116 0.365 0.857
Te6 0.384 0.865 0.143
Te7 0.670 0.651 0.631
Te8 0.830 0.151 0.369
```

E_tot in eV for the cell shown: -78.42
V in Å³/atom: 33.2
SG: P2_1/c
ΔE_f (raw) in eV/atom: -0.627

---

Record 2
The following is a GGA-PBE calculation of a relaxed K2NaCdAu crystal, from Alexandria.

CIF file:
```
data_K2NaCdAu
_chemical_formula_sum 'K2 Na1 Cd1 Au1'
_cell_length_a 5.525
_cell_length_b 4.970
_cell_length_c 8.339
_cell_angle_alpha 107.34
_cell_angle_beta 109.35
_cell_angle_gamma 90.00
_space_group_name_H-M_alt 'P 1'
_space_group_IT_number 1
_space_group_name_Hall 'P 1'
loop_
_atom_site_label
_atom_site_fract_x
_atom_site_fract_y
_atom_site_fract_z
K1 0.231 0.231 0.462
K2 0.953 0.953 0.906
Na1 0.494 0.494 0.988
Cd1 0.702 0.702 0.404
Au1 0.603 0.103 0.207
```

E above lowest polymorph in eV/atom: 0.0000
ΔE_f in eV/atom: -0.119
E_tot in eV for the cell shown: -8.30
V in Å³/atom: 41.0
SG: Imm2

---

Record 3
The following is a GGA-PBE calculation of a relaxed AcLaPrN3 crystal, from Alexandria.

CIF file:
```
data_AcLaPrN3
_chemical_formula_sum 'Ac2 La2 Pr2 N6'
_cell_length_a 3.662
_cell_length_b 6.429
_cell_length_c 9.823
_cell_angle_alpha 97.92
_cell_angle_beta 90.00
_cell_angle_gamma 90.00
_space_group_name_H-M_alt 'P 1'
_space_group_IT_number 1
_space_group_name_Hall 'P 1'
loop_
_atom_site_label
_atom_site_fract_x
_atom_site_fract_y
_atom_site_fract_z
Ac1 0.750 0.699 0.721
Ac2 0.250 0.301 0.279
La1 0.250 0.174 0.632
La2 0.750 0.826 0.368
Pr1 0.250 0.761 0.050
Pr2 0.750 0.239 0.950
N1 0.250 0.781 0.516
N2 0.750 0.030 0.152
N3 0.750 0.533 0.162
N4 0.750 0.219 0.484
N5 0.250 0.467 0.838
N6 0.250 0.970 0.848
```

E_tot in eV for the cell shown: -91.07
V in Å³/atom: 19.1
SG: P2_1/m
ΔE_f (raw) in eV/atom: -1.124

---

Record 4
The following is a GGA-PBE calculation of a relaxed Y2HoAg crystal, from Alexandria.

CIF file:
```
data_Y2HoAg
_chemical_formula_sum 'Y2 Ho1 Ag1'
_cell_length_a 3.618
_cell_length_b 3.618
_cell_length_c 10.491
_cell_angle_alpha 80.07
_cell_angle_beta 80.07
_cell_angle_gamma 60.00
_space_group_name_H-M_alt 'P 1'
_space_group_IT_number 1
_space_group_name_Hall 'P 1'
loop_
_atom_site_label
_atom_site_fract_x
_atom_site_fract_y
_atom_site_fract_z
Y1 0.075 0.075 0.776
Y2 0.259 0.259 0.224
Ho1 0.500 0.500 0.499
Ag1 0.667 0.667 0.000
```

E above lowest polymorph in eV/atom: 0.1187
ΔE_f in eV/atom: -0.012
E_tot in eV for the cell shown: -20.41
V in Å³/atom: 29.1
SG: R3m

---

Record 5
The following is a GGA-PBE calculation of a relaxed Ba3Cu2Si4 crystal, from Alexandria.

CIF file:
```
data_Ba3Cu2Si4
_chemical_formula_sum 'Ba3 Cu2 Si4'
_cell_length_a 4.140
_cell_length_b 6.584
_cell_length_c 8.911
_cell_angle_alpha 91.70
_cell_angle_beta 90.00
_cell_angle_gamma 108.33
_space_group_name_H-M_alt 'P 1'
_space_group_IT_number 1
_space_group_name_Hall 'P 1'
loop_
_atom_site_label
_atom_site_fract_x
_atom_site_fract_y
_atom_site_fract_z
Ba1 0.667 0.333 0.666
Ba2 0.000 0.000 0.000
Ba3 0.333 0.667 0.334
Cu1 0.610 0.219 0.278
Cu2 0.390 0.781 0.722
Si1 0.720 0.440 0.061
Si2 0.280 0.560 0.939
Si3 0.948 0.895 0.610
Si4 0.052 0.105 0.390
```

E_tot in eV for the cell shown: -38.80
V in Å³/atom: 25.6
SG: C2/m
ΔE_f (raw) in eV/atom: -0.349

---

Record 6
The following is a GGA-PBE calculation of a relaxed HoMgTcN3 crystal, from Alexandria.

CIF file:
```
data_HoMgTcN3
_chemical_formula_sum 'Ho2 Mg2 Tc2 N6'
_cell_length_a 3.161
_cell_length_b 5.684
_cell_length_c 8.498
_cell_angle_alpha 110.50
_cell_angle_beta 90.00
_cell_angle_gamma 90.00
_space_group_name_H-M_alt 'P 1'
_space_group_IT_number 1
_space_group_name_Hall 'P 1'
loop_
_atom_site_label
_atom_site_fract_x
_atom_site_fract_y
_atom_site_fract_z
Ho1 0.750 0.680 0.710
Ho2 0.250 0.320 0.290
Mg1 0.250 0.723 0.075
Mg2 0.750 0.277 0.925
Tc1 0.250 0.128 0.619
Tc2 0.750 0.872 0.381
N1 0.250 0.737 0.490
N2 0.750 0.991 0.182
N3 0.750 0.523 0.179
N4 0.750 0.263 0.510
N5 0.250 0.477 0.821
N6 0.250 0.009 0.818
```

E_tot in eV for the cell shown: -92.14
V in Å³/atom: 11.9
SG: P2_1/m
ΔE_f (raw) in eV/atom: -0.760

---

Record 7
The following is a GGA-PBE calculation of a relaxed NaPtS4 crystal, from Alexandria.

CIF file:
```
data_NaPtS4
_chemical_formula_sum 'Na2 Pt2 S8'
_cell_length_a 9.392
_cell_length_b 8.344
_cell_length_c 6.689
_cell_angle_alpha 143.64
_cell_angle_beta 84.11
_cell_angle_gamma 87.25
_space_group_name_H-M_alt 'P 1'
_space_group_IT_number 1
_space_group_name_Hall 'P 1'
loop_
_atom_site_label
_atom_site_fract_x
_atom_site_fract_y
_atom_site_fract_z
Na1 0.311 0.326 0.727
Na2 0.689 0.674 0.273
Pt1 0.763 0.977 0.953
Pt2 0.237 0.023 0.047
S1 0.068 0.328 0.193
S2 0.089 0.821 0.078
S3 0.410 0.074 0.830
S4 0.590 0.926 0.170
S5 0.932 0.672 0.807
S6 0.581 0.254 0.063
S7 0.419 0.746 0.937
S8 0.911 0.179 0.922
```

E_tot in eV for the cell shown: -52.04
V in Å³/atom: 25.1
SG: P-1
ΔE_f (raw) in eV/atom: -0.359

---

Record 8
The following is a GGA-PBE calculation of a relaxed Cs2ErCl6 crystal, from Alexandria.

CIF file:
```
data_Cs2ErCl6
_chemical_formula_sum 'Cs2 Er1 Cl6'
_cell_length_a 5.005
_cell_length_b 8.288
_cell_length_c 9.011
_cell_angle_alpha 117.38
_cell_angle_beta 102.62
_cell_angle_gamma 90.00
_space_group_name_H-M_alt 'P 1'
_space_group_IT_number 1
_space_group_name_Hall 'P 1'
loop_
_atom_site_label
_atom_site_fract_x
_atom_site_fract_y
_atom_site_fract_z
Cs1 0.660 0.667 0.334
Cs2 0.340 0.333 0.666
Er1 0.000 0.000 0.000
Cl1 0.132 0.340 0.266
Cl2 0.868 0.074 0.734
Cl3 0.868 0.660 0.734
Cl4 0.500 0.187 0.000
Cl5 0.132 0.926 0.266
Cl6 0.500 0.813 0.000
```

E_tot in eV for the cell shown: -33.46
V in Å³/atom: 35.7
SG: C2/m
ΔE_f (raw) in eV/atom: -1.791

---

Record 9
The following is a GGA-PBE calculation of a relaxed Na5Mg2Tl4 crystal, from Alexandria.

CIF file:
```
data_Na5Mg2Tl4
_chemical_formula_sum 'Na5 Mg2 Tl4'
_cell_length_a 3.444
_cell_length_b 8.701
_cell_length_c 10.550
_cell_angle_alpha 95.05
_cell_angle_beta 90.00
_cell_angle_gamma 90.00
_space_group_name_H-M_alt 'P 1'
_space_group_IT_number 1
_space_group_name_Hall 'P 1'
loop_
_atom_site_label
_atom_site_fract_x
_atom_site_fract_y
_atom_site_fract_z
Na1 0.000 0.538 0.338
Na2 0.000 0.146 0.131
Na3 0.000 0.500 0.000
Na4 0.000 0.854 0.869
Na5 0.000 0.462 0.662
Mg1 0.000 0.082 0.635
Mg2 0.000 0.918 0.365
Tl1 0.500 0.771 0.582
Tl2 0.500 0.205 0.861
Tl3 0.500 0.229 0.418
Tl4 0.500 0.795 0.139
```

E above lowest polymorph in eV/atom: 0.0000
ΔE_f in eV/atom: -0.084
E_tot in eV for the cell shown: -20.17
V in Å³/atom: 28.6
SG: P2/m

---

Record 10
The following is a GGA-PBE calculation of a relaxed LiCuCl2 crystal, from Alexandria.

CIF file:
```
data_LiCuCl2
_chemical_formula_sum 'Li1 Cu1 Cl2'
_cell_length_a 5.838
_cell_length_b 4.013
_cell_length_c 4.013
_cell_angle_alpha 59.96
_cell_angle_beta 90.00
_cell_angle_gamma 90.00
_space_group_name_H-M_alt 'P 1'
_space_group_IT_number 1
_space_group_name_Hall 'P 1'
loop_
_atom_site_label
_atom_site_fract_x
_atom_site_fract_y
_atom_site_fract_z
Cl1 0.000 0.792 0.792
Cl2 0.500 0.458 0.458
Cu1 0.000 0.459 0.459
Li1 0.500 0.791 0.791
```

E_tot in eV for the cell shown: -13.95
V in Å³/atom: 20.4
SG: Amm2
ΔE_f (raw) in eV/atom: -1.062

---

Record 11
The following is a GGA-PBE calculation of a relaxed Ac2Pm2AlGe4 crystal, from Alexandria.

CIF file:
```
data_Ac2Pm2AlGe4
_chemical_formula_sum 'Ac2 Pm2 Al1 Ge4'
_cell_length_a 6.866
_cell_length_b 6.866
_cell_length_c 6.866
_cell_angle_alpha 97.65
_cell_angle_beta 115.68
_cell_angle_gamma 115.68
_space_group_name_H-M_alt 'P 1'
_space_group_IT_number 1
_space_group_name_Hall 'P 1'
loop_
_atom_site_label
_atom_site_fract_x
_atom_site_fract_y
_atom_site_fract_z
Ac1 0.500 0.750 0.250
Ac2 0.500 0.250 0.750
Pm1 0.000 0.681 0.681
Pm2 0.000 0.319 0.319
Al1 0.000 0.000 0.000
Ge1 0.000 0.753 0.247
Ge2 0.507 0.753 0.753
Ge3 0.000 0.247 0.753
Ge4 0.493 0.247 0.247
```

ΔE_f in eV/atom: -0.359
E_tot in eV for the cell shown: -43.16
V in Å³/atom: 26.8
SG: I4/mmm

---

Record 12
The following is a GGA-PBE calculation of a relaxed Zn2PdPb crystal, from Alexandria.

CIF file:
```
data_Zn2PdPb
_chemical_formula_sum 'Zn2 Pd1 Pb1'
_cell_length_a 3.273
_cell_length_b 3.273
_cell_length_c 7.122
_cell_angle_alpha 90.00
_cell_angle_beta 90.00
_cell_angle_gamma 90.00
_space_group_name_H-M_alt 'P 1'
_space_group_IT_number 1
_space_group_name_Hall 'P 1'
loop_
_atom_site_label
_atom_site_fract_x
_atom_site_fract_y
_atom_site_fract_z
Pb1 0.500 0.500 0.500
Zn1 0.000 0.000 0.811
Zn2 0.000 0.000 0.189
Pd1 0.500 0.500 0.000
```

E above lowest polymorph in eV/atom: 0.0000
ΔE_f in eV/atom: -0.137
E_tot in eV for the cell shown: -12.00
V in Å³/atom: 19.1
SG: P4/mmm

---

Record 13
The following is a GGA-PBE calculation of a relaxed Li2PaInI8 crystal, from Alexandria.

CIF file:
```
data_Li2PaInI8
_chemical_formula_sum 'Li2 Pa1 In1 I8'
_cell_length_a 7.487
_cell_length_b 7.232
_cell_length_c 9.875
_cell_angle_alpha 89.60
_cell_angle_beta 89.35
_cell_angle_gamma 83.62
_space_group_name_H-M_alt 'P 1'
_space_group_IT_number 1
_space_group_name_Hall 'P 1'
loop_
_atom_site_label
_atom_site_fract_x
_atom_site_fract_y
_atom_site_fract_z
Li1 0.497 0.493 0.669
Li2 0.503 0.507 0.331
Pa1 0.000 0.000 0.000
In1 0.000 0.000 0.500
I1 0.186 0.765 0.216
I2 0.709 0.763 0.005
I3 0.816 0.235 0.217
I4 0.814 0.235 0.784
I5 0.291 0.237 0.995
I6 0.184 0.765 0.783
I7 0.676 0.709 0.504
I8 0.324 0.291 0.496
```

E_tot in eV for the cell shown: -39.17
V in Å³/atom: 44.3
SG: P-1
ΔE_f (raw) in eV/atom: -0.892

---

Record 14
The following is a GGA-PBE calculation of a relaxed Hf2ZnTeP crystal, from Alexandria.

CIF file:
```
data_Hf2ZnTeP
_chemical_formula_sum 'Hf2 Zn1 Te1 P1'
_cell_length_a 4.837
_cell_length_b 5.300
_cell_length_c 4.837
_cell_angle_alpha 90.00
_cell_angle_beta 90.00
_cell_angle_gamma 90.00
_space_group_name_H-M_alt 'P 1'
_space_group_IT_number 1
_space_group_name_Hall 'P 1'
loop_
_atom_site_label
_atom_site_fract_x
_atom_site_fract_y
_atom_site_fract_z
P1 0.000 0.000 0.000
Zn1 0.500 0.500 0.500
Te1 0.000 0.500 0.000
Hf1 0.000 0.000 0.500
Hf2 0.500 0.000 0.000
```

E_tot in eV for the cell shown: -28.21
V in Å³/atom: 24.8
SG: P4/mmm
ΔE_f (raw) in eV/atom: 0.304

---

Record 15
The following is a GGA-PBE calculation of a relaxed LiAcSnSe3 crystal, from Alexandria.

CIF file:
```
data_LiAcSnSe3
_chemical_formula_sum 'Li2 Ac2 Sn2 Se6'
_cell_length_a 4.222
_cell_length_b 8.988
_cell_length_c 9.278
_cell_angle_alpha 100.44
_cell_angle_beta 90.00
_cell_angle_gamma 90.00
_space_group_name_H-M_alt 'P 1'
_space_group_IT_number 1
_space_group_name_Hall 'P 1'
loop_
_atom_site_label
_atom_site_fract_x
_atom_site_fract_y
_atom_site_fract_z
Li1 0.250 0.097 0.592
Li2 0.750 0.903 0.408
Ac1 0.250 0.169 0.224
Ac2 0.750 0.831 0.776
Sn1 0.250 0.658 0.156
Sn2 0.750 0.342 0.844
Se1 0.750 0.896 0.127
Se2 0.250 0.104 0.873
Se3 0.250 0.805 0.521
Se4 0.750 0.195 0.479
Se5 0.750 0.409 0.153
Se6 0.250 0.591 0.847
```

E_tot in eV for the cell shown: -56.22
V in Å³/atom: 28.9
SG: P2_1/m
ΔE_f (raw) in eV/atom: -1.272

---

Record 16
The following is a GGA-PBE calculation of a relaxed K2Te2Rh crystal, from Alexandria.

CIF file:
```
data_K2Te2Rh
_chemical_formula_sum 'K4 Te4 Rh2'
_cell_length_a 7.207
_cell_length_b 7.207
_cell_length_c 5.661
_cell_angle_alpha 90.00
_cell_angle_beta 90.00
_cell_angle_gamma 90.00
_space_group_name_H-M_alt 'P 1'
_space_group_IT_number 1
_space_group_name_Hall 'P 1'
loop_
_atom_site_label
_atom_site_fract_x
_atom_site_fract_y
_atom_site_fract_z
K1 0.166 0.666 0.500
K2 0.666 0.834 0.500
K3 0.834 0.334 0.500
K4 0.334 0.166 0.500
Te1 0.343 0.843 0.000
Te2 0.843 0.657 0.000
Te3 0.657 0.157 0.000
Te4 0.157 0.343 0.000
Rh1 0.000 0.000 0.000
Rh2 0.500 0.500 0.000
```

E_tot in eV for the cell shown: -36.39
V in Å³/atom: 29.4
SG: P4/mbm
ΔE_f (raw) in eV/atom: -0.473

---

Record 17
The following is a GGA-PBE calculation of a relaxed SrPm4SmTe8 crystal, from Alexandria.

CIF file:
```
data_SrPm4SmTe8
_chemical_formula_sum 'Sr1 Pm4 Sm1 Te8'
_cell_length_a 9.351
_cell_length_b 9.351
_cell_length_c 9.342
_cell_angle_alpha 59.97
_cell_angle_beta 59.97
_cell_angle_gamma 60.00
_space_group_name_H-M_alt 'P 1'
_space_group_IT_number 1
_space_group_name_Hall 'P 1'
loop_
_atom_site_label
_atom_site_fract_x
_atom_site_fract_y
_atom_site_fract_z
Sr1 0.375 0.375 0.874
Pm1 0.625 0.625 0.126
Pm2 0.002 0.495 0.502
Pm3 0.495 0.002 0.502
Pm4 0.002 0.002 0.502
Sm1 0.002 0.002 0.995
Te1 0.237 0.786 0.739
Te2 0.786 0.237 0.739
Te3 0.237 0.237 0.739
Te4 0.238 0.238 0.285
Te5 0.759 0.226 0.257
Te6 0.226 0.759 0.257
Te7 0.759 0.759 0.257
Te8 0.758 0.758 0.727
```

E_tot in eV for the cell shown: -69.48
V in Å³/atom: 41.2
SG: R3m
ΔE_f (raw) in eV/atom: -1.353

---

Record 18
The following is a GGA-PBE calculation of a relaxed Nd2Dy2YSc2 crystal, from Alexandria.

CIF file:
```
data_Nd2Dy2YSc2
_chemical_formula_sum 'Nd2 Dy2 Y1 Sc2'
_cell_length_a 3.446
_cell_length_b 5.974
_cell_length_c 11.631
_cell_angle_alpha 71.91
_cell_angle_beta 90.00
_cell_angle_gamma 106.77
_space_group_name_H-M_alt 'P 1'
_space_group_IT_number 1
_space_group_name_Hall 'P 1'
loop_
_atom_site_label
_atom_site_fract_x
_atom_site_fract_y
_atom_site_fract_z
Nd1 0.672 0.344 0.910
Nd2 0.328 0.656 0.090
Dy1 0.454 0.909 0.768
Dy2 0.546 0.091 0.232
Y1 0.000 0.000 0.500
Sc1 0.772 0.544 0.370
Sc2 0.228 0.456 0.630
```

ΔE_f in eV/atom: 0.112
E_tot in eV for the cell shown: -37.08
V in Å³/atom: 31.0
SG: C2/m

---

Record 19
The following is a GGA-PBE calculation of a relaxed SbTeOs3 crystal, from Alexandria.

CIF file:
```
data_SbTeOs3
_chemical_formula_sum 'Sb1 Te1 Os3'
_cell_length_a 4.842
_cell_length_b 4.842
_cell_length_c 4.842
_cell_angle_alpha 90.00
_cell_angle_beta 90.00
_cell_angle_gamma 90.00
_space_group_name_H-M_alt 'P 1'
_space_group_IT_number 1
_space_group_name_Hall 'P 1'
loop_
_atom_site_label
_atom_site_fract_x
_atom_site_fract_y
_atom_site_fract_z
Sb1 0.500 0.500 0.500
Te1 0.000 0.000 0.000
Os1 0.000 0.500 0.000
Os2 0.000 0.000 0.500
Os3 0.500 0.000 0.000
```

E above lowest polymorph in eV/atom: 0.0000
E_tot in eV for the cell shown: -29.76
V in Å³/atom: 22.7
SG: Pm-3m
ΔE_f (raw) in eV/atom: 2.238

---

Record 20
The following is a GGA-PBE calculation of a relaxed LiRe2Pt crystal, from Alexandria.

CIF file:
```
data_LiRe2Pt
_chemical_formula_sum 'Li1 Re2 Pt1'
_cell_length_a 2.637
_cell_length_b 2.637
_cell_length_c 9.075
_cell_angle_alpha 90.00
_cell_angle_beta 90.00
_cell_angle_gamma 106.48
_space_group_name_H-M_alt 'P 1'
_space_group_IT_number 1
_space_group_name_Hall 'P 1'
loop_
_atom_site_label
_atom_site_fract_x
_atom_site_fract_y
_atom_site_fract_z
Li1 0.500 0.500 0.250
Pt1 0.500 0.500 0.750
Re1 0.000 0.000 0.996
Re2 0.000 0.000 0.504
```

E above lowest polymorph in eV/atom: 0.3805
ΔE_f in eV/atom: 0.331
E_tot in eV for the cell shown: -31.53
V in Å³/atom: 15.1
SG: Cmmm